Entry 1:
## TaSn3Se (SCAN)

Data for TaSn3Se at its PBEsol-relaxed geometry.

```
data_TaSn3Se
_space_group_name_H-M_alt 'P 1'
_space_group_IT_number 1
_space_group_name_Hall 'P 1'
_cell_length_a 5.320
_cell_length_b 5.320
_cell_length_c 5.320
_cell_angle_alpha 90.00
_cell_angle_beta 90.00
_cell_angle_gamma 90.00
loop_
_atom_site_label
_atom_site_type_symbol
_atom_site_fract_x
_atom_site_fract_y
_atom_site_fract_z
Se1 Se 0.500 0.500 0.500
Sn1 Sn 0.000 0.000 0.500
Sn2 Sn 0.000 0.500 0.000
Sn3 Sn 0.500 0.000 0.000
Ta1 Ta 0.000 0.000 0.000
```

## Properties
- Space-group type: Pm-3m
- Density: 6.8 Mg/m³
- Raw formation energy: 573.5 meV per atom
- Total magnetic moment: 2.10 μB/f.u.
- Electronic total energy: -38.31 eV/atom



Entry 2:
## HfSiP3 (SCAN)

Data for HfSiP3 at its PBEsol-relaxed geometry.

```
data_HfSiP3
_space_group_name_H-M_alt 'P 1'
_space_group_IT_number 1
_space_group_name_Hall 'P 1'
_cell_length_a 4.434
_cell_length_b 4.434
_cell_length_c 4.434
_cell_angle_alpha 90.00
_cell_angle_beta 90.00
_cell_angle_gamma 90.00
loop_
_atom_site_label
_atom_site_type_symbol
_atom_site_fract_x
_atom_site_fract_y
_atom_site_fract_z
P1 P 0.500 0.000 0.000
P2 P 0.000 0.500 0.000
P3 P 0.000 0.000 0.500
Hf1 Hf 0.500 0.500 0.500
Si1 Si 0.000 0.000 0.000
```

## Properties
- Space-group type: Pm-3m
- Density: 5.7 Mg/m³
- Raw formation energy: 497.3 meV per atom
- Total magnetic moment: 0.00 μB/f.u.
- Electronic total energy: -20.28 eV/atom



What is the formula in the first record?
TaSn3Se



What is the formula in the first record?
TaSn3Se